--- P ---
Here is a relaxed Dy2BeCd crystal from Alexandria via LeMat-Bulk. Energies are from PBE-GGA.

Properties
Its density is 7.10 g/cm³.

Cell lengths 10.6922, 10.6922, 10.6922 Å; angles 18.22, 18.22, 18.22 degrees
Atoms (fractional coordinates):
Dy (0.1036, 0.1036, 0.1036)
Dy (0.8964, 0.8964, 0.8964)
Be (0.5000, 0.5000, 0.5000)
Cd (0.0000, 0.0000, 0.0000)

--- Q ---
Here is a relaxed Dy2BeCd crystal from Alexandria via LeMat-Bulk. Energies are from PBE-GGA.

Properties
Its density is 8.15 g/cm³.

Cell lengths 3.4694, 3.4694, 7.5578 Å; angles 90.00, 90.00, 90.00 degrees
Atoms (fractional coordinates):
Dy (0.0000, 0.0000, 0.2161)
Dy (0.0000, 0.0000, 0.7839)
Be (0.5000, 0.5000, 0.0000)
Cd (0.5000, 0.5000, 0.5000)

Top of the stability list: Q, leading by 439 meV/atom.

--- P ---
Here is a relaxed Be3CdF crystal from Alexandria via LeMat-Bulk. Energies are from PBE-GGA.

Properties
Its density is 2.86 g/cm³.

Cell lengths 4.5117, 4.5117, 4.5117 Å; angles 90.00, 90.00, 90.00 degrees
Atoms (fractional coordinates):
Be (0.0000, 0.0000, 0.5000)
Be (0.0000, 0.5000, 0.0000)
Be (0.5000, 0.0000, 0.0000)
Cd (0.0000, 0.0000, 0.0000)
F (0.5000, 0.5000, 0.5000)

--- Q ---
Here is a relaxed Be3CdF crystal from Alexandria via LeMat-Bulk. Energies are from PBE-GGA.

Properties
Its density is 4.41 g/cm³.

Cell lengths 3.9067, 3.9067, 3.9067 Å; angles 90.00, 90.00, 90.00 degrees
Atoms (fractional coordinates):
Be (0.0000, 0.0000, 0.5000)
Be (0.0000, 0.5000, 0.0000)
Be (0.5000, 0.0000, 0.0000)
Cd (0.5000, 0.5000, 0.5000)
F (0.0000, 0.0000, 0.0000)

Top of the stability list: Q, leading by 592 meV/atom.

--- P ---
Here is a relaxed BeCdNF2 crystal from Alexandria via LeMat-Bulk. Energies are from PBE-GGA.

Properties
Its density is 3.53 g/cm³.

Cell lengths 4.2798, 4.2798, 4.4487 Å; angles 90.00, 90.00, 90.00 degrees
Atoms (fractional coordinates):
Be (0.0000, 0.0000, 0.0000)
Cd (0.5000, 0.5000, 0.5000)
N (0.5000, 0.5000, 0.0000)
F (0.0000, 0.5000, 0.5000)
F (0.5000, 0.0000, 0.5000)

--- Q ---
Here is a relaxed BeCdNF2 crystal from Alexandria via LeMat-Bulk. Energies are from PBE-GGA.

Properties
Its density is 5.25 g/cm³.

Cell lengths 3.2752, 3.2752, 5.1178 Å; angles 90.00, 90.00, 90.00 degrees
Atoms (fractional coordinates):
Be (0.0000, 0.0000, 0.0000)
Cd (0.5000, 0.5000, 0.5000)
N (0.0000, 0.0000, 0.5000)
F (0.0000, 0.5000, 0.0000)
F (0.5000, 0.0000, 0.0000)

Top of the stability list: Q, leading by 1411 meV/atom.

--- P ---
Here is a relaxed BeCdN2F crystal from Alexandria via LeMat-Bulk. Energies are from PBE-GGA.

Properties
Its density is 5.51 g/cm³.

Cell lengths 3.4465, 3.4465, 4.2715 Å; angles 90.00, 90.00, 90.00 degrees
Atoms (fractional coordinates):
Be (0.0000, 0.0000, 0.0000)
Cd (0.5000, 0.5000, 0.5000)
N (0.0000, 0.5000, 0.0000)
N (0.5000, 0.0000, 0.0000)
F (0.0000, 0.0000, 0.5000)

--- Q ---
Here is a relaxed BeCdN2F crystal from Alexandria via LeMat-Bulk. Energies are from PBE-GGA.

Properties
Its density is 3.56 g/cm³.

Cell lengths 4.2525, 4.2525, 4.3419 Å; angles 90.00, 90.00, 90.00 degrees
Atoms (fractional coordinates):
Be (0.0000, 0.0000, 0.0000)
Cd (0.5000, 0.5000, 0.5000)
N (0.0000, 0.5000, 0.5000)
N (0.5000, 0.0000, 0.5000)
F (0.5000, 0.5000, 0.0000)

Top of the stability list: P, leading by 1340 meV/atom.

--- P ---
Here is a relaxed Be2CdFe2 crystal from Alexandria via LeMat-Bulk. Energies are from PBE-GGA.

Properties
Its density is 6.69 g/cm³.

Cell lengths 6.8433, 6.8433, 2.5661 Å; angles 90.00, 90.00, 90.00 degrees
Atoms (fractional coordinates):
Be (0.1718, 0.3282, 0.0000)
Be (0.3282, 0.8282, 0.0000)
Be (0.6718, 0.1718, 0.0000)
Be (0.8282, 0.6718, 0.0000)
Cd (0.0000, 0.0000, 0.5000)
Cd (0.5000, 0.5000, 0.5000)
Fe (0.1200, 0.6200, 0.5000)
Fe (0.3800, 0.1200, 0.5000)
Fe (0.6200, 0.8800, 0.5000)
Fe (0.8800, 0.3800, 0.5000)

--- Q ---
Here is a relaxed Be2CdFe2 crystal from Alexandria via LeMat-Bulk. Energies are from PBE-GGA.

Properties
Its density is 6.94 g/cm³.

Cell lengths 6.4247, 6.4247, 2.8081 Å; angles 90.00, 90.00, 90.00 degrees
Atoms (fractional coordinates):
Be (0.1191, 0.3809, 0.0000)
Be (0.3809, 0.8809, 0.0000)
Be (0.6191, 0.1191, 0.0000)
Be (0.8809, 0.6191, 0.0000)
Cd (0.0000, 0.0000, 0.0000)
Cd (0.5000, 0.5000, 0.0000)
Fe (0.1645, 0.6645, 0.5000)
Fe (0.3355, 0.1645, 0.5000)
Fe (0.6645, 0.8355, 0.5000)
Fe (0.8355, 0.3355, 0.5000)

Top of the stability list: Q, leading by 83 meV/atom.

--- P ---
Here is a relaxed BeCdFe2 crystal from Alexandria via LeMat-Bulk. Energies are from PBE-GGA.

Properties
Its density is 7.32 g/cm³.

Cell lengths 4.6919, 4.6919, 2.6307 Å; angles 90.00, 90.00, 114.13 degrees
Atoms (fractional coordinates):
Be (0.0000, 0.0000, 0.0000)
Cd (0.5000, 0.5000, 0.0000)
Fe (0.0000, 0.5000, 0.5000)
Fe (0.5000, 0.0000, 0.5000)

--- Q ---
Here is a relaxed BeCdFe2 crystal from Alexandria via LeMat-Bulk. Energies are from PBE-GGA.

Properties
Its density is 7.40 g/cm³.

Cell lengths 4.8627, 4.8627, 4.8627 Å; angles 144.96, 126.61, 65.47 degrees
Atoms (fractional coordinates):
Be (0.0000, 0.0000, 0.0000)
Cd (0.2546, 0.7546, 0.5000)
Fe (0.5370, 0.5370, 0.0000)
Fe (0.7770, 0.2770, 0.5000)

--- R ---
Here is a relaxed BeCdFe2 crystal from Alexandria via LeMat-Bulk. Energies are from PBE-GGA.

Properties
Its density is 7.65 g/cm³.

Cell lengths 2.6748, 2.6785, 7.0598 Å; angles 90.00, 90.08, 90.00 degrees
Atoms (fractional coordinates):
Be (0.0000, 0.0000, 0.0000)
Cd (0.0000, 0.0000, 0.5000)
Fe (0.5002, 0.5000, 0.1946)
Fe (0.4998, 0.5000, 0.8054)

--- S ---
Here is a relaxed BeCdFe2 crystal from Alexandria via LeMat-Bulk. Energies are from PBE-GGA.

Properties
Its density is 7.24 g/cm³.

Cell lengths 8.5212, 8.5212, 8.5212 Å; angles 18.33, 18.33, 18.33 degrees
Atoms (fractional coordinates):
Be (0.0000, 0.0000, 0.0000)
Cd (0.5000, 0.5000, 0.5000)
Fe (0.2627, 0.2627, 0.2627)
Fe (0.7373, 0.7373, 0.7373)

Top of the stability list: R, leading by 181 meV/atom.

--- P ---
Here is a relaxed BeCdFe2 crystal from Alexandria via LeMat-Bulk. Energies are from PBE-GGA.

Properties
Its density is 7.50 g/cm³.

Cell lengths 4.1848, 4.1848, 4.1848 Å; angles 120.27, 120.27, 89.53 degrees
Atoms (fractional coordinates):
Be (0.0000, 0.0000, 0.0000)
Cd (0.2500, 0.7500, 0.5000)
Fe (0.5000, 0.5000, 0.0000)
Fe (0.7500, 0.2500, 0.5000)

--- Q ---
Here is a relaxed BeCdFe2 crystal from Alexandria via LeMat-Bulk. Energies are from PBE-GGA.

Properties
Its density is 7.56 g/cm³.

Cell lengths 4.8479, 4.8479, 4.0678 Å; angles 114.58, 114.58, 36.54 degrees
Atoms (fractional coordinates):
Be (0.0000, 0.0000, 0.0000)
Cd (0.5000, 0.5000, 0.5000)
Fe (0.2709, 0.2709, 0.7717)
Fe (0.7291, 0.7291, 0.2283)

--- R ---
Here is a relaxed BeCdFe2 crystal from Alexandria via LeMat-Bulk. Energies are from PBE-GGA.

Properties
Its density is 7.47 g/cm³.

Cell lengths 2.9012, 2.9012, 6.1578 Å; angles 90.00, 90.00, 90.00 degrees
Atoms (fractional coordinates):
Be (0.0000, 0.0000, 0.0000)
Cd (0.5000, 0.5000, 0.2952)
Fe (0.0000, 0.0000, 0.6162)
Fe (0.5000, 0.5000, 0.8208)

--- S ---
Here is a relaxed BeCdFe2 crystal from Alexandria via LeMat-Bulk. Energies are from PBE-GGA.

Properties
Its density is 7.32 g/cm³.

Cell lengths 4.2130, 4.2130, 4.2130 Å; angles 60.00, 60.00, 60.00 degrees
Atoms (fractional coordinates):
Be (0.0000, 0.0000, 0.0000)
Cd (0.5000, 0.5000, 0.5000)
Fe (0.2500, 0.2500, 0.2500)
Fe (0.7500, 0.7500, 0.7500)

Top of the stability list: R, leading by 76 meV/atom.

--- P ---
Here is a relaxed BeCdFe2 crystal from Alexandria via LeMat-Bulk. Energies are from PBE-GGA.

Properties
Its density is 7.25 g/cm³.

Cell lengths 4.2790, 4.2790, 4.9064 Å; angles 99.56, 99.56, 37.13 degrees
Atoms (fractional coordinates):
Be (0.0000, 0.0000, 0.0000)
Cd (0.2381, 0.2381, 0.7010)
Fe (0.4751, 0.4751, 0.3746)
Fe (0.7358, 0.7358, 0.1898)

--- Q ---
Here is a relaxed BeCdFe2 crystal from Alexandria via LeMat-Bulk. Energies are from PBE-GGA.

Properties
Its density is 7.04 g/cm³.

Cell lengths 8.8487, 8.8487, 8.8487 Å; angles 156.50, 156.50, 33.47 degrees
Atoms (fractional coordinates):
Be (0.0000, 0.0000, 0.0000)
Be (0.7500, 0.2500, 0.5000)
Cd (0.2500, 0.7500, 0.5000)
Cd (0.5000, 0.5000, 0.0000)
Fe (0.0207, 0.6250, 0.8957)
Fe (0.3750, 0.2707, 0.3957)
Fe (0.7293, 0.1250, 0.1043)
Fe (0.8750, 0.9793, 0.6043)

Top of the stability list: P, leading by 436 meV/atom.

--- P ---
Here is a relaxed BeCd2Fe2 crystal from Alexandria via LeMat-Bulk. Energies are from PBE-GGA.

Properties
Its density is 6.94 g/cm³.

Cell lengths 7.6259, 7.6259, 2.8453 Å; angles 90.00, 90.00, 90.00 degrees
Atoms (fractional coordinates):
Be (0.0000, 0.0000, 0.0000)
Be (0.5000, 0.5000, 0.0000)
Cd (0.1859, 0.3141, 0.0000)
Cd (0.3141, 0.8141, 0.0000)
Cd (0.6859, 0.1859, 0.0000)
Cd (0.8141, 0.6859, 0.0000)
Fe (0.1088, 0.6088, 0.5000)
Fe (0.3912, 0.1088, 0.5000)
Fe (0.6088, 0.8912, 0.5000)
Fe (0.8912, 0.3912, 0.5000)

--- Q ---
Here is a relaxed BeCd2Fe2 crystal from Alexandria via LeMat-Bulk. Energies are from PBE-GGA.

Properties
Its density is 7.78 g/cm³.

Cell lengths 5.7882, 5.7882, 4.4012 Å; angles 90.00, 90.00, 90.00 degrees
Atoms (fractional coordinates):
Be (0.0000, 0.0000, 0.0000)
Be (0.5000, 0.5000, 0.0000)
Cd (0.1733, 0.3267, 0.5000)
Cd (0.3267, 0.8267, 0.5000)
Cd (0.6733, 0.1733, 0.5000)
Cd (0.8267, 0.6733, 0.5000)
Fe (0.1399, 0.6399, 0.0000)
Fe (0.3601, 0.1399, 0.0000)
Fe (0.6399, 0.8601, 0.0000)
Fe (0.8601, 0.3601, 0.0000)

--- R ---
Here is a relaxed BeCd2Fe2 crystal from Alexandria via LeMat-Bulk. Energies are from PBE-GGA.

Properties
Its density is 7.01 g/cm³.

Cell lengths 7.9258, 7.9258, 7.9258 Å; angles 156.07, 156.07, 34.09 degrees
Atoms (fractional coordinates):
Be (0.0000, 0.0000, 0.0000)
Cd (0.4018, 0.4018, 0.0000)
Cd (0.5982, 0.5982, 0.0000)
Fe (0.2500, 0.7500, 0.5000)
Fe (0.7500, 0.2500, 0.5000)

Top of the stability list: Q, leading by 283 meV/atom.

--- P ---
Here is a relaxed BeCd3Fe crystal from Alexandria via LeMat-Bulk. Energies are from PBE-GGA.

Properties
Its density is 5.31 g/cm³.

Cell lengths 5.0092, 5.0092, 5.0092 Å; angles 90.00, 90.00, 90.00 degrees
Atoms (fractional coordinates):
Be (0.0000, 0.0000, 0.0000)
Cd (0.0000, 0.5000, 0.5000)
Cd (0.5000, 0.0000, 0.5000)
Cd (0.5000, 0.5000, 0.0000)
Fe (0.5000, 0.5000, 0.5000)

--- Q ---
Here is a relaxed BeCd3Fe crystal from Alexandria via LeMat-Bulk. Energies are from PBE-GGA.

Properties
Its density is 6.83 g/cm³.

Cell lengths 4.6060, 4.6060, 4.6060 Å; angles 90.00, 90.00, 90.00 degrees
Atoms (fractional coordinates):
Be (0.0000, 0.0000, 0.0000)
Cd (0.0000, 0.0000, 0.5000)
Cd (0.0000, 0.5000, 0.0000)
Cd (0.5000, 0.0000, 0.0000)
Fe (0.5000, 0.5000, 0.5000)

Top of the stability list: Q, leading by 331 meV/atom.

--- P ---
Here is a relaxed Be2CdFePt crystal from Alexandria via LeMat-Bulk. Energies are from PBE-GGA.

Properties
Its density is 7.20 g/cm³.

Cell lengths 4.2635, 4.2635, 4.8378 Å; angles 90.00, 90.00, 90.00 degrees
Atoms (fractional coordinates):
Be (0.0000, 0.5000, 0.0000)
Be (0.5000, 0.0000, 0.0000)
Cd (0.0000, 0.0000, 0.5000)
Fe (0.5000, 0.5000, 0.5000)
Pt (0.5000, 0.5000, 0.0000)

--- Q ---
Here is a relaxed Be2CdFePt crystal from Alexandria via LeMat-Bulk. Energies are from PBE-GGA.

Properties
Its density is 7.40 g/cm³.

Cell lengths 4.2424, 4.2424, 4.7519 Å; angles 90.00, 90.00, 90.00 degrees
Atoms (fractional coordinates):
Be (0.0000, 0.5000, 0.0000)
Be (0.5000, 0.0000, 0.0000)
Cd (0.0000, 0.0000, 0.0000)
Fe (0.0000, 0.0000, 0.5000)
Pt (0.5000, 0.5000, 0.5000)

Top of the stability list: P, leading by 878 meV/atom.